# KSc2Mn, optimized geometry, DFT GGA-PBE
# **Total DFT energy (no corrections)**: -4.880 eV per atom
# **Fermi-level density of states**: 12.0 states/eV per cell
# **Spin magnetization**: 1.86 μB/f.u.
# **E_form**: 852 meV per atom
data_KSc2Mn
_chemical_formula_sum 'K2 Sc4 Mn2'
_symmetry_space_group_name_H-M 'C m m m'
_symmetry_Int_Tables_number 65
_symmetry_space_group_name_Hall '-C 2 2'
_cell_length_a 6.678
_cell_length_b 9.258
_cell_length_c 3.297
_cell_angle_alpha 90.00
_cell_angle_beta 90.00
_cell_angle_gamma 90.00
loop_
_atom_site_label
_atom_site_fract_x
_atom_site_fract_y
_atom_site_fract_z
K1 0.000 0.000 0.000
Sc1 0.250 0.250 0.500
Mn1 0.000 0.500 0.000

***

# KSc2Mn, optimized geometry, DFT GGA-PBE
# **Total DFT energy (no corrections)**: -5.271 eV per atom
# **Fermi-level density of states**: 4.7 states/eV per cell
# **Spin magnetization**: 4.72 μB/f.u.
# **E_form**: 462 meV per atom
data_KSc2Mn
_chemical_formula_sum 'K1 Sc2 Mn1'
_symmetry_space_group_name_H-M 'P 4 m m'
_symmetry_Int_Tables_number 99
_cell_length_a 3.321
_cell_length_b 3.321
_cell_length_c 10.075
_cell_angle_alpha 90.00
_cell_angle_beta 90.00
_cell_angle_gamma 90.00
loop_
_symmetry_equiv_pos_as_xyz
'x,y,z'
'-y,x,z'
'-x,-y,z'
'y,-x,z'
'-x,y,z'
'y,x,z'
'x,-y,z'
'-y,-x,z'
loop_
_atom_site_label
_atom_site_fract_x
_atom_site_fract_y
_atom_site_fract_z
K1 0.000 0.000 0.000
Sc1 0.000 0.000 0.440
Sc2 0.500 0.500 0.659
Mn1 0.500 0.500 0.278

***

# K3ScMn, optimized geometry, DFT GGA-PBE
# **Total DFT energy (no corrections)**: -2.592 eV per atom
# **Fermi-level density of states**: 17.3 states/eV per cell
# **Spin magnetization**: 2.30 μB/f.u.
# **E_form**: 1167 meV per atom
data_K3ScMn
_chemical_formula_sum 'K3 Sc1 Mn1'
_symmetry_space_group_name_H-M 'P m -3 m'
_symmetry_Int_Tables_number 221
_symmetry_space_group_name_Hall '-P 4 2 3'
_cell_length_a 6.496
_cell_length_b 6.496
_cell_length_c 6.496
_cell_angle_alpha 90.00
_cell_angle_beta 90.00
_cell_angle_gamma 90.00
loop_
_atom_site_label
_atom_site_fract_x
_atom_site_fract_y
_atom_site_fract_z
K1 0.000 0.000 0.500
Sc1 0.500 0.500 0.500
Mn1 0.000 0.000 0.000

***

# KScMn, optimized geometry, DFT GGA-PBE
# **Total DFT energy (no corrections)**: -4.563 eV per atom
# **Fermi-level density of states**: 5.1 states/eV per cell
# **Spin magnetization**: 2.46 μB/f.u.
# **E_form**: 970 meV per atom
data_KScMn
_chemical_formula_sum 'K1 Sc1 Mn1'
_symmetry_space_group_name_H-M 'P 3 m 1'
_symmetry_Int_Tables_number 156
_cell_length_a 5.5075
_cell_length_b 5.5075
_cell_length_c 3.0489
_cell_angle_alpha 90.00
_cell_angle_beta 90.00
_cell_angle_gamma 120.00
loop_
_symmetry_equiv_pos_as_xyz
'x,y,z'
'-y,x-y,z'
'-x+y,-x,z'
'-y,-x,z'
'-x+y,y,z'
'x,x-y,z'
loop_
_atom_site_label
_atom_site_fract_x
_atom_site_fract_y
_atom_site_fract_z
K1 0.0000 0.0000 0.0000
Sc1 0.3333 0.6667 0.6977
Mn1 0.6667 0.3333 0.2985

***

ΔE to the lowest computed polymorph per entry: 0.598, 0.208, 0.000, 0.415 eV per atom